(1)
Density functional theory data (GGA-PBEsol) for a geometry-optimized Zn2TeSe structure.

```
4
Lattice="3.618 0.000 0.000 0.000 4.718 0.113 0.000 -0.806 4.650" Properties=species:S:1:pos:R:3 pbc="T T T"
Se 1.809 0.000 0.000
Zn 0.000 -0.403 2.325
Zn 0.000 2.359 0.057
Te 1.809 1.956 2.381
```

Summary:
ΔE_f (raw), eV per atom: 0.16

***

(2)
Density functional theory data (GGA-PBEsol) for a geometry-optimized Zn2TeSe structure.

```
4
Lattice="-0.182 -2.097 3.104 3.033 -0.315 -2.301 3.412 5.287 3.773" Properties=species:S:1:pos:R:3 pbc="T T T"
Zn 0.927 1.436 1.025
Zn 2.485 3.851 2.748
Se 1.615 1.595 3.438
Te -0.091 -1.049 1.552
```

Summary:
ΔE_f (raw), eV per atom: -0.01